This record from the Alexandria database describes a relaxed Rb2Pr2PuS6 crystal. The functional is PBE-GGA.

Cell: 7.191 7.191 8.224 Å, 98.56 98.56 119.61°
Last column: magnetic moment on the atom in μB.
Fractional coordinates of all 11 atoms:
Rb1 0.830 0.170 0.000  0.00
Rb2 0.170 0.830 0.000  0.00
Pr1 0.334 0.666 0.500  0.01
Pr2 0.666 0.334 0.500  0.01
Pu1 0.000 0.000 0.500  4.50
S1 0.752 0.752 0.688  -0.07
S2 0.061 0.380 0.689  -0.06
S3 0.248 0.248 0.312  -0.07
S4 0.380 0.061 0.689  -0.06
S5 0.939 0.620 0.311  -0.06
S6 0.620 0.939 0.311  -0.06

## Properties
Calculated volume: 353.2 Å³/cell
E: -69.2 eV/cell
SG: C2/m (12)

***

This record from the Alexandria database describes a relaxed Rb2PrPuS4 crystal. The functional is PBE-GGA.

Cell: 4.209 7.299 8.060 Å, 107.60 90.00 90.00°
Last column: magnetic moment on the atom in μB.
Fractional coordinates of all 8 atoms:
Rb1 0.500 0.000 0.500  0.00
Rb2 0.000 0.500 0.500  0.00
Pr1 0.500 0.500 0.000  0.03
Pu1 0.000 0.000 0.000  5.04
S1 0.500 0.223 0.191  -0.07
S2 0.500 0.777 0.809  -0.07
S3 0.000 0.262 0.802  -0.03
S4 0.000 0.738 0.198  -0.03

## Properties
Calculated volume: 236.0 Å³/cell
E: -50.9 eV/cell
SG: P2/m (10)

***

This record from the Alexandria database describes a relaxed Rb3PrPu2S6 crystal. The functional is PBE-GGA.

Cell: 7.245 7.245 8.049 Å, 98.63 98.63 120.00°
Last column: magnetic moment on the atom in μB.
Fractional coordinates of all 12 atoms:
Rb1 0.165 0.835 0.500  0.00
Rb2 0.835 0.165 0.500  0.00
Rb3 0.500 0.500 0.500  0.00
Pr1 0.000 0.000 0.000  0.04
Pu1 0.333 0.667 0.000  5.05
Pu2 0.667 0.333 0.000  5.05
S1 0.936 0.593 0.807  -0.07
S2 0.722 0.722 0.193  -0.07
S3 0.064 0.407 0.193  -0.07
S4 0.593 0.936 0.807  -0.07
S5 0.278 0.278 0.807  -0.07
S6 0.407 0.064 0.193  -0.07

## Properties
Calculated volume: 349.0 Å³/cell
E: -80.7 eV/cell
SG: C2/m (12)

***

This record from the Alexandria database describes a relaxed Rb3PrPu2Se6 crystal. The functional is PBE-GGA.

Cell: 7.533 7.533 8.371 Å, 98.63 98.63 120.00°
Last column: magnetic moment on the atom in μB.
Fractional coordinates of all 12 atoms:
Rb1 0.165 0.835 0.500  0.00
Rb2 0.835 0.165 0.500  0.00
Rb3 0.500 0.500 0.500  0.00
Pr1 0.000 0.000 0.000  -0.03
Pu1 0.333 0.667 0.000  -5.12
Pu2 0.667 0.333 0.000  -5.12
Se1 0.934 0.593 0.802  0.07
Se2 0.725 0.725 0.197  0.07
Se3 0.066 0.407 0.198  0.07
Se4 0.593 0.934 0.802  0.07
Se5 0.275 0.275 0.803  0.07
Se6 0.407 0.066 0.198  0.07

## Properties
Calculated volume: 392.4 Å³/cell
E: -75.6 eV/cell
SG: C2/m (12)